# CsZn2Sb2Au6

A relaxed structure of CsZn2Sb2Au6 (PBE, Alexandria).

Formation energy without anion corrections in eV per atom: -0.16

Geometry as CIF:
```
data_CsZn2Sb2Au6
_cell_length_a 6.701
_cell_length_b 7.110
_cell_length_c 7.210
_cell_angle_alpha 76.36
_cell_angle_beta 65.80
_cell_angle_gamma 66.96
_space_group_name_H-M_alt 'P -1'
_space_group_IT_number 2
_space_group_name_Hall '-P 1'
loop_
_atom_site_label
_atom_site_fract_x
_atom_site_fract_y
_atom_site_fract_z
Cs1 0.000 0.000 0.000
Zn1 0.443 0.311 0.459
Sb1 0.198 0.433 0.199
Au1 0.156 0.702 0.540
Au2 0.325 0.034 0.374
Au3 0.454 0.343 0.817
```